# ZrPa3N7

A relaxed structure of ZrPa3N7 (GGA-PBE, Alexandria).

Summary:
The total DFT energy (no corrections) comes out at -10.03 eV/atom. Its magnetic moment is 0.000 μB/atom. The value obtained for the formation energy without anion corrections is -1.369 eV per atom.

a = 7.7052 Å, b = 10.5552 Å, c = 7.6212 Å
α = 90.00°, β = 90.00°, γ = 90.00°
Space group Cmcm (No. 63)
Asymmetric unit:
Zr  0.0000  0.0000  0.0000 x4
Pa  0.0000  0.5000  0.0000 x4
Pa  0.2311  0.2354  0.2500 x8
N  0.0000  0.0967  0.2500 x4
N  0.0000  0.3674  0.2500 x4
N  0.0000  0.3691  0.7500 x4
N  0.2309  0.1258  0.5226 x16


# Ce3SmTh2As6

A relaxed structure of Ce3SmTh2As6 (GGA-PBE, Alexandria).

Summary:
The total DFT energy (no corrections) comes out at -6.89 eV/atom. Its magnetic moment is 0.194 μB/atom. For the formation energy, the calculation gives -1450.5 meV/atom.

a = 7.3306 Å, b = 12.6934 Å, c = 7.3416 Å
α = 90.00°, β = 109.43°, γ = 90.00°
Space group C2/m (No. 12)
Asymmetric unit:
Ce  0.0000  0.0000  0.0000 x2
Ce  0.0000  0.3334  0.0000 x4
Sm  0.0000  0.5000  0.5000 x2
Th  0.0000  0.1667  0.5000 x4
As  0.2492  0.5000  0.2484 x4
As  0.2498  0.1666  0.2489 x8


Question: The highest magnetic moment belongs to which entry?
Answer: Ce3SmTh2As6